[1]
Y5ScGe4: relaxed, GGA-PBE.

Geometry as CIF:
```
data_Y5ScGe4
_symmetry_space_group_name_H-M 'P 1'
_symmetry_Int_Tables_number 1
_cell_length_a 4.858
_cell_length_b 6.844
_cell_length_c 10.539
_cell_angle_alpha 130.45
_cell_angle_beta 103.33
_cell_angle_gamma 90.00
loop_
_symmetry_equiv_pos_as_xyz
'x,y,z'
loop_
_atom_site_label
_atom_site_type_symbol
_atom_site_fract_x
_atom_site_fract_y
_atom_site_fract_z
Sc1 Sc 0.500 0.000 0.000
Ge1 Ge 0.991 0.742 0.982
Ge2 Ge 0.322 0.893 0.644
Ge3 Ge 0.678 0.107 0.356
Ge4 Ge 0.009 0.258 0.018
Y1 Y 0.836 0.169 0.671
Y2 Y 0.164 0.321 0.327
Y3 Y 0.500 0.500 0.000
Y4 Y 0.836 0.679 0.673
Y5 Y 0.164 0.831 0.329
```


[2]
AlTeOs2: relaxed, GGA-PBE.

Geometry as CIF:
```
data_AlTeOs2
_symmetry_space_group_name_H-M 'P 1'
_symmetry_Int_Tables_number 1
_cell_length_a 4.047
_cell_length_b 2.940
_cell_length_c 6.255
_cell_angle_alpha 100.66
_cell_angle_beta 90.00
_cell_angle_gamma 90.00
loop_
_symmetry_equiv_pos_as_xyz
'x,y,z'
loop_
_atom_site_label
_atom_site_type_symbol
_atom_site_fract_x
_atom_site_fract_y
_atom_site_fract_z
Al1 Al 0.500 0.750 0.750
Os1 Os 0.000 0.361 0.571
Os2 Os 0.000 0.139 0.929
Te1 Te 0.500 0.250 0.250
```


[3]
HgPtC3: relaxed, GGA-PBE.

Geometry as CIF:
```
data_HgPtC3
_symmetry_space_group_name_H-M 'P 1'
_symmetry_Int_Tables_number 1
_cell_length_a 4.232
_cell_length_b 4.232
_cell_length_c 4.232
_cell_angle_alpha 90.00
_cell_angle_beta 90.00
_cell_angle_gamma 90.00
loop_
_symmetry_equiv_pos_as_xyz
'x,y,z'
loop_
_atom_site_label
_atom_site_type_symbol
_atom_site_fract_x
_atom_site_fract_y
_atom_site_fract_z
C1 C 0.000 0.000 0.500
C2 C 0.500 0.000 0.000
C3 C 0.000 0.500 0.000
Hg1 Hg 0.000 0.000 0.000
Pt1 Pt 0.500 0.500 0.500
```


[4]
Ce2Ni5Ge3: relaxed, GGA-PBE.

Geometry as CIF:
```
data_Ce2Ni5Ge3
_symmetry_space_group_name_H-M 'P 1'
_symmetry_Int_Tables_number 1
_cell_length_a 4.072
_cell_length_b 6.909
_cell_length_c 11.558
_cell_angle_alpha 90.00
_cell_angle_beta 100.15
_cell_angle_gamma 90.00
loop_
_symmetry_equiv_pos_as_xyz
'x,y,z'
loop_
_atom_site_label
_atom_site_type_symbol
_atom_site_fract_x
_atom_site_fract_y
_atom_site_fract_z
Ge1 Ge 0.391 0.970 0.782
Ge2 Ge 0.609 0.470 0.218
Ge3 Ge 0.066 0.035 0.132
Ge4 Ge 0.770 0.651 0.539
Ge5 Ge 0.230 0.151 0.461
Ge6 Ge 0.934 0.535 0.868
Ni1 Ni 0.864 0.799 0.728
Ni2 Ni 0.380 0.586 0.760
Ni3 Ni 0.270 0.471 0.539
Ni4 Ni 0.708 0.349 0.416
Ni5 Ni 0.957 0.993 0.915
Ni6 Ni 0.292 0.849 0.584
Ni7 Ni 0.043 0.493 0.085
Ni8 Ni 0.620 0.086 0.240
Ni9 Ni 0.730 0.971 0.461
Ni10 Ni 0.136 0.299 0.272
Ce1 Ce 0.836 0.245 0.672
Ce2 Ce 0.487 0.266 0.974
Ce3 Ce 0.513 0.766 0.026
Ce4 Ce 0.164 0.745 0.328
```


[5]
Cs3KAu: relaxed, GGA-PBE.

Geometry as CIF:
```
data_Cs3KAu
_symmetry_space_group_name_H-M 'P 1'
_symmetry_Int_Tables_number 1
_cell_length_a 8.172
_cell_length_b 8.172
_cell_length_c 8.172
_cell_angle_alpha 90.00
_cell_angle_beta 90.00
_cell_angle_gamma 90.00
loop_
_symmetry_equiv_pos_as_xyz
'x,y,z'
loop_
_atom_site_label
_atom_site_type_symbol
_atom_site_fract_x
_atom_site_fract_y
_atom_site_fract_z
Au1 Au 0.500 0.500 0.500
K1 K 0.000 0.000 0.000
Cs1 Cs 0.000 0.000 0.500
Cs2 Cs 0.500 0.000 0.000
Cs3 Cs 0.000 0.500 0.000
```


[6]
VBiAsRu2: relaxed, GGA-PBE.

Geometry as CIF:
```
data_VBiAsRu2
_symmetry_space_group_name_H-M 'P 1'
_symmetry_Int_Tables_number 1
_cell_length_a 4.970
_cell_length_b 4.970
_cell_length_c 4.988
_cell_angle_alpha 90.00
_cell_angle_beta 90.00
_cell_angle_gamma 90.00
loop_
_symmetry_equiv_pos_as_xyz
'x,y,z'
loop_
_atom_site_label
_atom_site_type_symbol
_atom_site_fract_x
_atom_site_fract_y
_atom_site_fract_z
Ru1 Ru 0.500 0.000 0.000
Ru2 Ru 0.000 0.500 0.000
Bi1 Bi 0.000 0.000 0.000
As1 As 0.500 0.500 0.500
V1 V 0.000 0.000 0.500
```


[7]
Np2TlBr11: relaxed, GGA-PBE.

Geometry as CIF:
```
data_Np2TlBr11
_symmetry_space_group_name_H-M 'P 1'
_symmetry_Int_Tables_number 1
_cell_length_a 12.959
_cell_length_b 11.696
_cell_length_c 11.696
_cell_angle_alpha 67.37
_cell_angle_beta 56.36
_cell_angle_gamma 56.36
loop_
_symmetry_equiv_pos_as_xyz
'x,y,z'
loop_
_atom_site_label
_atom_site_type_symbol
_atom_site_fract_x
_atom_site_fract_y
_atom_site_fract_z
Np1 Np 0.158 0.846 0.154
Np2 Np 0.342 0.346 0.654
Np3 Np 0.842 0.154 0.846
Np4 Np 0.658 0.654 0.346
Br1 Br 0.802 0.795 0.205
Br2 Br 0.131 0.080 0.180
Br3 Br 0.074 0.128 0.610
Br4 Br 0.108 0.580 0.680
Br5 Br 0.688 0.628 0.110
Br6 Br 0.631 0.680 0.580
Br7 Br 0.392 0.820 0.920
Br8 Br 0.869 0.920 0.820
Br9 Br 0.369 0.320 0.420
Br10 Br 0.892 0.420 0.320
Br11 Br 0.698 0.295 0.705
Br12 Br 0.312 0.372 0.890
Br13 Br 0.188 0.610 0.128
Br14 Br 0.000 0.000 0.000
Br15 Br 0.608 0.180 0.080
Br16 Br 0.926 0.872 0.390
Br17 Br 0.426 0.890 0.372
Br18 Br 0.812 0.390 0.872
Br19 Br 0.198 0.205 0.795
Br20 Br 0.574 0.110 0.628
Br21 Br 0.500 0.500 0.500
Br22 Br 0.302 0.705 0.295
Tl1 Tl 0.250 0.250 0.250
Tl2 Tl 0.750 0.750 0.750
```


[8]
LaCo2BIr: relaxed, GGA-PBE.

Geometry as CIF:
```
data_LaCo2BIr
_symmetry_space_group_name_H-M 'P 1'
_symmetry_Int_Tables_number 1
_cell_length_a 4.143
_cell_length_b 4.143
_cell_length_c 4.193
_cell_angle_alpha 90.00
_cell_angle_beta 90.00
_cell_angle_gamma 90.00
loop_
_symmetry_equiv_pos_as_xyz
'x,y,z'
loop_
_atom_site_label
_atom_site_type_symbol
_atom_site_fract_x
_atom_site_fract_y
_atom_site_fract_z
B1 B 0.000 0.000 0.000
Ir1 Ir 0.000 0.000 0.500
Co1 Co 0.500 0.000 0.000
Co2 Co 0.000 0.500 0.000
La1 La 0.500 0.500 0.500
```


Ordered total DFT energy (no corrections) results: -63.5; -27.4; -15.9; -120.2; -5.2; -26.2; -121.5; -36.1; unit eV/cell.
Ordered spin magnetization results: 0.0; 0.0; 0.0; 0.4; 0.0; 2.5; 8.0; 0.9; unit μB per cell.